DFT (PBE) results for an optimized crystal structure of RbS.

Cell and atoms, written as extended XYZ:
```
2
Lattice="2.521 -2.529 0.000 2.521 2.529 0.000 -0.021 0.000 4.631" Properties=species:S:1:pos:R:3 pbc="T T T"
Rb 0.000 0.000 0.000
S 2.511 0.000 2.315
```

Computed properties:
The value obtained for the density is 3.30 g/cm³. Its space group is C2/m. The value obtained for the density of states at the Fermi level is 0.66 states/eV per atom. For the final energy, the calculation gives -2.985 eV per atom. The calculation puts the magnetization at 0.0 μB/cell. The formation energy without anion corrections is -0.44 eV/atom.

***

DFT (PBE) results for an optimized crystal structure of Ce2ZrTiN5.

Cell and atoms, written as extended XYZ:
```
18
Lattice="1.696 -6.776 0.000 1.696 6.776 0.000 0.000 0.000 10.390" Properties=species:S:1:pos:R:3 pbc="T T T"
Ce 1.696 5.235 5.195
Ce 1.696 4.892 0.952
Ce 1.696 -4.892 6.148
Ce 1.696 -5.235 0.000
Zr 1.696 3.862 8.391
Zr 1.696 -3.862 3.196
Ti 1.696 0.244 2.854
Ti 1.696 -0.244 8.049
N 1.696 6.074 8.890
N 1.696 2.963 4.778
N 1.696 2.551 1.808
N 1.696 1.703 8.441
N 1.696 0.093 6.144
N 1.696 -0.093 0.949
N 1.696 -1.703 3.246
N 1.696 -2.551 7.003
N 1.696 -2.963 9.973
N 1.696 -6.074 3.695
```

Computed properties:
The value obtained for the density is 6.81 g/cm³. Its space group is Cmc2_1. The value obtained for the density of states at the Fermi level is 0.66 states/eV per atom. For the final energy, the calculation gives -9.250 eV per atom. The calculation puts the magnetization at 1.2 μB/cell. The formation energy without anion corrections is -1.48 eV/atom.

***

DFT (PBE) results for an optimized crystal structure of Ce2PuTi.

Cell and atoms, written as extended XYZ:
```
4
Lattice="1.748 1.009 8.848 -1.748 1.009 8.848 0.000 -2.018 8.848" Properties=species:S:1:pos:R:3 pbc="T T T"
Ce 0.000 0.000 2.816
Ce 0.000 0.000 23.727
Pu 0.000 0.000 13.271
Ti 0.000 0.000 0.000
```

Computed properties:
The value obtained for the density is 10.14 g/cm³. Its space group is R-3m. For the energy of formation, the calculation gives 0.7233 eV per atom. The value obtained for the density of states at the Fermi level is 1.85 states/eV per atom. The energy relative to the lowest polymorph listed for this composition is 561 meV/atom. For the final energy, the calculation gives -7.800 eV per atom. The calculation puts the magnetization at 2.7 μB/cell.

***

DFT (PBE) results for an optimized crystal structure of ScGe2H.

Cell and atoms, written as extended XYZ:
```
4
Lattice="0.000 3.223 3.223 3.223 0.000 3.223 3.223 3.223 0.000" Properties=species:S:1:pos:R:3 pbc="T T T"
Sc 0.000 0.000 0.000
Ge 1.611 1.611 1.611
Ge 4.834 4.834 4.834
H 3.223 3.223 3.223
```

Computed properties:
The value obtained for the density is 4.74 g/cm³. Its space group is Fm-3m. The value obtained for the density of states at the Fermi level is 0.80 states/eV per atom. The energy relative to the lowest polymorph listed for this composition is 176 meV/atom. For the final energy, the calculation gives -4.374 eV per atom. The calculation puts the magnetization at 0.2 μB/cell.

***

DFT (PBE) results for an optimized crystal structure of HgO8.

Cell and atoms, written as extended XYZ:
```
9
Lattice="-4.187 4.187 3.748 4.187 -4.187 3.748 4.187 4.187 -3.748" Properties=species:S:1:pos:R:3 pbc="T T T"
Hg 0.000 0.000 0.000
O 3.570 0.000 0.000
O 4.804 0.000 0.000
O 3.443 3.443 0.000
O 0.744 -0.744 3.748
O 0.000 3.570 0.000
O 0.000 4.804 0.000
O -0.744 0.744 3.748
O 0.744 0.744 3.748
```

Computed properties:
The value obtained for the density is 2.08 g/cm³. Its space group is I4/mmm. For the final energy, the calculation gives -3.941 eV per atom. The calculation puts the magnetization at 4.0 μB/cell. The formation energy without anion corrections is 0.50 eV/atom.

***

DFT (PBE) results for an optimized crystal structure of LaHfAg.

Cell and atoms, written as extended XYZ:
```
6
Lattice="4.358 0.000 0.000 0.000 4.358 0.000 0.000 0.000 7.920" Properties=species:S:1:pos:R:3 pbc="T T T"
La 1.090 3.269 0.000
La 3.269 1.090 0.000
Hf 1.090 1.090 2.985
Hf 3.269 3.269 4.934
Ag 1.090 1.090 5.598
Ag 3.269 3.269 2.322
```

Computed properties:
The value obtained for the density is 9.39 g/cm³. Its space group is P4/nmm. For the energy of formation, the calculation gives 0.3706 eV per atom. The value obtained for the density of states at the Fermi level is 1.07 states/eV per atom. The energy relative to the lowest polymorph listed for this composition is 405 meV/atom. For the final energy, the calculation gives -5.540 eV per atom. The calculation puts the magnetization at 0.0 μB/cell.

***

DFT (PBE) results for an optimized crystal structure of Y2ScGa4Pt3.

Cell and atoms, written as extended XYZ:
```
10
Lattice="4.065 0.000 0.000 0.000 4.065 0.000 0.000 0.000 11.782" Properties=species:S:1:pos:R:3 pbc="T T T"
Y 0.000 2.033 2.814
Y 2.033 0.000 8.968
Sc 0.000 0.000 5.891
Ga 0.000 0.000 0.000
Ga 0.000 2.033 7.708
Ga 2.033 0.000 4.074
Ga 2.033 2.033 0.000
Pt 0.000 2.033 10.188
Pt 2.033 0.000 1.594
Pt 2.033 2.033 5.891
```

Computed properties:
The value obtained for the density is 9.27 g/cm³. Its space group is P-4m2. For the energy of formation, the calculation gives -0.9043 eV per atom. The value obtained for the density of states at the Fermi level is 0.77 states/eV per atom. For the final energy, the calculation gives -5.853 eV per atom. The calculation puts the magnetization at 0.0 μB/cell.

***

DFT (PBE) results for an optimized crystal structure of Li2PmTiO4.

Cell and atoms, written as extended XYZ:
```
8
Lattice="-2.691 2.691 3.215 2.691 -2.691 3.215 2.691 2.691 -3.215" Properties=species:S:1:pos:R:3 pbc="T T T"
Li 2.691 0.000 1.608
Li 0.000 2.691 1.608
Pm 0.000 0.000 0.000
Ti 0.000 0.000 3.215
O 1.182 -1.182 2.242
O 1.509 1.509 0.973
O -1.182 1.182 2.242
O 1.182 1.182 4.189
```

Computed properties:
The value obtained for the density is 4.83 g/cm³. Its space group is I-42m. The value obtained for the density of states at the Fermi level is 0.11 states/eV per atom. For the final energy, the calculation gives -7.145 eV per atom. The calculation puts the magnetization at 1.0 μB/cell. The formation energy without anion corrections is -2.61 eV/atom.